[1]
DFT (PBE) results for an optimized crystal structure of NbZnTe2I.

formation energy without anion corrections = 0.781 eV/atom

The structure in POSCAR format:
```
NbZnTe2I
1.0
5.237 0.000 0.000
0.000 5.237 0.000
0.000 0.000 5.445
Nb Zn Te I
1 1 2 1
Direct
0.000 0.000 0.000
0.500 0.500 0.500
0.000 0.500 0.500
0.500 0.000 0.500
0.500 0.500 0.000
```

---

[2]
DFT (PBE) results for an optimized crystal structure of YW.

formation enthalpy at 0 K = 2925 meV/atom

The structure in POSCAR format:
```
YW
1.0
0.000 3.273 3.273
3.273 0.000 3.273
3.273 3.273 0.000
Y W
1 1
Direct
0.000 0.000 0.000
0.750 0.750 0.750
```

---

Here are the calculated VASP energy numbers, same order: -3.0540 -6.7834 (eV/atom).